Entry 1:
A geometry-optimized MgSnP structure. Source: Alexandria, functional GGA-PBE.

abc: 3.979 4.614 8.842
angles: 84.44 77.28 64.53
Space group P-1 (No. 2)
One atom of each set of equivalent atoms:
Mg 0.080 0.216 0.121 [2 per cell]
Sn 0.194 0.704 0.406 [2 per cell]
P 0.256 0.176 0.814 [2 per cell]

Computed properties:
For the energy relative to the elements, the calculation gives -0.250 eV per atom. As for the polymorph energy (0 for the lowest one): 59 meV per atom. The calculated density is 4.04 g/cm3.

=====

Entry 2:
A geometry-optimized MgSnP structure. Source: Alexandria, functional GGA-PBE.

abc: 4.749 4.811 6.551
angles: 98.33 103.50 96.03
Space group P-1 (No. 2)
One atom of each set of equivalent atoms:
Mg 0.246 0.262 0.012 [2 per cell]
Sn 0.199 0.786 0.547 [2 per cell]
P 0.319 0.802 0.175 [2 per cell]

Computed properties:
For the energy relative to the elements, the calculation gives -0.249 eV per atom. As for the polymorph energy (0 for the lowest one): 60 meV per atom. The calculated density is 4.05 g/cm3.

=====

Entry 3:
A geometry-optimized MgSnP structure. Source: Alexandria, functional GGA-PBE.

abc: 4.2044 4.2044 27.8094
angles: 90.00 90.00 120.00
Space group R-3m (No. 166, hexagonal axes)
One atom of each set of equivalent atoms:
Mg 0.0000 0.0000 0.1320 [6 per cell]
Sn 0.0000 0.0000 0.3729 [6 per cell]
P 0.0000 0.0000 0.2292 [6 per cell]

Computed properties:
For the energy relative to the elements, the calculation gives -0.162 eV per atom. As for the polymorph energy (0 for the lowest one): 147 meV per atom. The calculated density is 4.07 g/cm3.

=====

Entry 4:
A geometry-optimized MgSnP structure. Source: Alexandria, functional GGA-PBE.

abc: 4.428 8.250 6.264
angles: 90.00 134.99 90.00
Space group Pc (No. 7)
One atom of each set of equivalent atoms:
Mg 0.000 0.000 0.000 [2 per cell]
Sn 0.502 0.464 0.005 [2 per cell]
P 0.500 0.156 0.000 [2 per cell]

Computed properties:
For the energy relative to the elements, the calculation gives -0.309 eV per atom. As for the polymorph energy (0 for the lowest one): 0 meV per atom. The calculated density is 3.57 g/cm3.

=====

Entry 5:
A geometry-optimized MgSn2P structure. Source: Alexandria, functional GGA-PBE.

abc: 6.603 6.603 11.458
angles: 90.00 90.00 90.00
Space group I-42d (No. 122)
One atom of each set of equivalent atoms:
Mg 0.000 0.000 0.000 [4 per cell]
Sn 0.217 0.250 0.625 [8 per cell]
P 0.000 0.000 0.500 [4 per cell]

Computed properties:
For the energy relative to the elements, the calculation gives 0.128 eV per atom. As for the polymorph energy (0 for the lowest one): 0 meV per atom. The calculated density is 3.89 g/cm3.

=====

Entry 6:
A geometry-optimized MgSnP structure. Source: Alexandria, functional GGA-PBE.

abc: 3.887 3.888 11.068
angles: 89.93 89.82 60.03
Space group P1 (No. 1)
One atom of each set of equivalent atoms:
Mg 0.000 0.000 0.000 [1 per cell]
Mg 0.331 0.333 0.224 [1 per cell]
Sn 0.661 0.670 0.521 [1 per cell]
Sn 0.666 0.668 0.796 [1 per cell]
P 0.666 0.667 0.105 [1 per cell]
P 0.995 0.003 0.399 [1 per cell]

Computed properties:
For the energy relative to the elements, the calculation gives -0.246 eV per atom. As for the polymorph energy (0 for the lowest one): 63 meV per atom. The calculated density is 3.99 g/cm3.

=====

Entry 7:
A geometry-optimized MgSn2P structure. Source: Alexandria, functional GGA-PBE.

abc: 7.160 7.160 7.160
angles: 90.00 90.00 90.00
Space group Fm-3m (No. 225)
One atom of each set of equivalent atoms:
Mg 0.000 0.000 0.000 [4 per cell]
Sn 0.250 0.250 0.250 [8 per cell]
P 0.000 0.000 0.500 [4 per cell]

Computed properties:
For the energy relative to the elements, the calculation gives 0.240 eV per atom. As for the polymorph energy (0 for the lowest one): 112 meV per atom. The calculated density is 5.30 g/cm3.

=====

Entry 8:
A geometry-optimized MgSnP structure. Source: Alexandria, functional GGA-PBE.

abc: 3.880 7.818 4.737
angles: 90.00 90.00 90.00
Space group Pmn2_1 (No. 31)
One atom of each set of equivalent atoms:
Mg 0.000 0.052 0.000 [2 per cell]
Sn 0.000 0.576 0.892 [2 per cell]
P 0.000 0.176 0.500 [2 per cell]

Computed properties:
For the energy relative to the elements, the calculation gives -0.248 eV per atom. As for the polymorph energy (0 for the lowest one): 61 meV per atom. The calculated density is 4.02 g/cm3.

=====

Entry 9:
A geometry-optimized MgSnP structure. Source: Alexandria, functional GGA-PBE.

abc: 7.461 4.654 9.091
angles: 90.00 97.79 90.00
Space group Cm (No. 8)
One atom of each set of equivalent atoms:
Mg 0.000 0.000 0.000 [2 per cell]
Mg 0.044 0.500 0.247 [2 per cell]
Sn 0.038 0.500 0.683 [2 per cell]
Sn 0.175 0.000 0.559 [2 per cell]
P 0.145 0.500 0.960 [2 per cell]
P 0.201 0.000 0.282 [2 per cell]

Computed properties:
For the energy relative to the elements, the calculation gives -0.268 eV per atom. As for the polymorph energy (0 for the lowest one): 42 meV per atom. The calculated density is 3.70 g/cm3.

=====

Entry 10:
A geometry-optimized MgSnTeP2 structure. Source: Alexandria, functional GGA-PBE.

abc: 5.248 5.248 5.154
angles: 90.00 90.00 90.00
Space group P4/mmm (No. 123)
One atom of each set of equivalent atoms:
Mg 0.000 0.000 0.000 [1 per cell]
Sn 0.500 0.500 0.000 [1 per cell]
Te 0.000 0.000 0.500 [1 per cell]
P 0.000 0.500 0.500 [2 per cell]

Computed properties:
The calculation puts the formation energy from raw total energies at 17.93 kcal/mol of atoms. As for the polymorph energy (0 for the lowest one): 0 meV per atom. The calculated density is 3.89 g/cm3.

=====

Entry 11:
A geometry-optimized MgSnTeP2 structure. Source: Alexandria, functional GGA-PBE.

abc: 5.102 5.102 5.783
angles: 90.00 90.00 90.00
Space group P4/mmm (No. 123)
One atom of each set of equivalent atoms:
Mg 0.000 0.000 0.000 [1 per cell]
Sn 0.500 0.500 0.000 [1 per cell]
Te 0.500 0.500 0.500 [1 per cell]
P 0.000 0.500 0.500 [2 per cell]

Computed properties:
The calculation puts the formation energy from raw total energies at 21.36 kcal/mol of atoms. As for the polymorph energy (0 for the lowest one): 149 meV per atom. The calculated density is 3.67 g/cm3.

=====

Entry 12:
A geometry-optimized SrMgP2 structure. Source: Alexandria, functional GGA-PBE.

abc: 5.253 5.253 3.138
angles: 90.00 90.00 90.00
Space group P4/mmm (No. 123)
One atom of each set of equivalent atoms:
Sr 0.000 0.000 0.000 [1 per cell]
Mg 0.500 0.500 0.000 [1 per cell]
P 0.000 0.500 0.500 [2 per cell]

Computed properties:
For the energy relative to the elements, the calculation gives -0.344 eV per atom. The calculated density is 3.33 g/cm3.

=====

Entry 13:
A geometry-optimized Sr2MgP structure. Source: Alexandria, functional GGA-PBE.

abc: 7.829 7.829 7.829
angles: 90.00 90.00 90.00
Space group Fm-3m (No. 225)
One atom of each set of equivalent atoms:
Sr 0.250 0.250 0.250 [8 per cell]
Mg 0.000 0.000 0.000 [4 per cell]
P 0.000 0.000 0.500 [4 per cell]

Computed properties:
For the energy relative to the elements, the calculation gives -0.309 eV per atom. As for the polymorph energy (0 for the lowest one): 259 meV per atom. The calculated density is 3.19 g/cm3.